(1)
Below is an optimized crystal structure of CdSn2Br6, with properties calculated at the PBE-GGA level.

Unit cell a=6.9523 b=6.9523 c=13.1411 alpha=90.00 beta=90.00 gamma=90.00
Closest atoms and distances in Å follow each position.
Space group P4_2/mnm (No. 136)
Asymmetric unit:
Cd 0.0000 0.0000 0.0000 (multiplicity 2)  6 Br 2.82-2.86
Sn 0.0000 0.0000 0.3340 (multiplicity 4)  6 Br 2.99-3.02
Br 0.1930 0.1930 0.1584 (multiplicity 8)  1 Cd 2.82, 2 Sn 2.99-3.02
Br 0.2095 0.2095 0.5000 (multiplicity 4)  1 Cd 2.86, 2 Sn 3.00

Summary:
The value obtained for the raw formation energy is -6.85 eV/f.u. As for the distance to the lowest polymorph of the same formula: 26.5 meV per atom. As for the total energy: -2.8670 eV/atom.

---

(2)
Below is an optimized crystal structure of Dy2Si2I, with properties calculated at the PBE-GGA level.

Unit cell a=16.0220 b=5.1426 c=7.3211 alpha=90.00 beta=106.03 gamma=90.00
Closest atoms and distances in Å follow each position.
Space group C2/c (No. 15)
Asymmetric unit:
Dy 0.1598 0.1139 0.1397 (multiplicity 8)  5 Si 2.81-2.99
Si 0.1990 0.4058 0.4998 (multiplicity 8)  1 Si 2.29
I 0.0000 0.1650 0.7500 (multiplicity 4)  4 Dy 3.23-3.28

Summary:
The value obtained for the raw formation energy is -3.02 eV/f.u. As for the total energy: -4.9231 eV/atom.

---

(3)
Below is an optimized crystal structure of Cs2AlS3, with properties calculated at the PBE-GGA level.

Unit cell a=13.0114 b=8.7707 c=6.9258 alpha=90.00 beta=97.78 gamma=90.00
Closest atoms and distances in Å follow each position.
Space group C2/c (No. 15)
Asymmetric unit:
Cs 0.1631 0.1477 0.1916 (multiplicity 8)  5 S 3.37-3.74
Al 0.0000 0.4486 0.7500 (multiplicity 4)  3 S 2.26-2.30
S 0.0000 0.1906 0.7500 (multiplicity 4)  1 Al 2.26
S 0.1175 0.4390 0.4856 (multiplicity 8)  2 Al 2.30-2.54

Summary:
The value obtained for the raw formation energy is -6.01 eV/f.u. As for the total energy: -3.9738 eV/atom.

---

(4)
Below is an optimized crystal structure of MgCd2Bi2, with properties calculated at the PBE-GGA level.

Unit cell a=4.2538 b=4.2538 c=15.9433 alpha=90.00 beta=90.00 gamma=90.00
Closest atoms and distances in Å follow each position.
Space group I4/mmm (No. 139)
Asymmetric unit:
Mg 0.0000 0.0000 0.0000 (multiplicity 2)  8 Bi 3.43
Cd 0.0000 0.5000 0.2500 (multiplicity 4)  4 Cd 3.01, 4 Bi 3.15
Bi 0.0000 0.0000 0.3962 (multiplicity 4)  4 Cd 3.15, 1 Bi 3.31, 4 Mg 3.43

Summary:
As for the distance to the lowest polymorph of the same formula: 68.0 meV per atom. As for the total energy: -2.1586 eV/atom.

---

(5)
Below is an optimized crystal structure of RuPbCl2, with properties calculated at the PBE-GGA level.

Unit cell a=3.2408 b=4.6464 c=12.3341 alpha=90.00 beta=90.00 gamma=90.00
Closest atoms and distances in Å follow each position.
Space group Imm2 (No. 44)
Asymmetric unit:
Ru 0.0000 0.0000 0.0000 (multiplicity 2)  6 Cl 2.60-2.87, 2 Pb 2.91
Pb 0.0000 0.5000 0.3042 (multiplicity 2)  2 Ru 2.91, 2 Cl 3.05, 2 Pb 3.24
Cl 0.0000 0.0000 0.4648 (multiplicity 2)  4 Ru 2.87, 2 Pb 3.05
Cl 0.0000 0.5000 0.6646 (multiplicity 2)  2 Ru 2.60

Summary:
The value obtained for the raw formation energy is 0.42 eV/f.u. As for the distance to the lowest polymorph of the same formula: 303.8 meV per atom. As for the total energy: -4.0646 eV/atom.

---

(6)
Below is an optimized crystal structure of Ga3CoGe, with properties calculated at the PBE-GGA level.

Unit cell a=4.8982 b=4.8982 c=4.8982 alpha=90.00 beta=90.00 gamma=90.00
Closest atoms and distances in Å follow each position.
Space group Pm-3m (No. 221)
Asymmetric unit:
Ga 0.0000 0.0000 0.5000 (multiplicity 3)  2 Ge 2.45
Co 0.5000 0.5000 0.5000 (multiplicity 1)  12 Ga 3.46
Ge 0.0000 0.0000 0.0000 (multiplicity 1)  6 Ga 2.45

Summary:
As for the distance to the lowest polymorph of the same formula: 971.1 meV per atom. As for the total energy: -3.2178 eV/atom.

---

(7)
Below is an optimized crystal structure of Rb2AlSF6, with properties calculated at the PBE-GGA level.

Unit cell a=6.7867 b=6.7867 c=7.7241 alpha=90.00 beta=90.00 gamma=90.00
Closest atoms and distances in Å follow each position.
Space group I4/mmm (No. 139)
Asymmetric unit:
Rb 0.0000 0.5000 0.2500 (multiplicity 4)  12 F 3.14-3.39
Al 0.0000 0.0000 0.0000 (multiplicity 2)  6 F 1.79-1.96
S 0.0000 0.0000 0.5000 (multiplicity 2)  2 F 1.90
F 0.0000 0.0000 0.2544 (multiplicity 4)  1 S 1.90, 1 Al 1.96
F 0.1862 0.1862 0.0000 (multiplicity 8)  1 Al 1.79

Summary:
The value obtained for the raw formation energy is -25.23 eV/f.u. As for the total energy: -4.6261 eV/atom.